1.
Tl2Pd3Se2 | SCAN | single point on PBEsol structure

Cell: 5.752 5.752 5.934 Å, 61.01 61.01 60.00°
Positions (direct):
Pd: 0.000 0.500 0.000
Pd: 0.500 0.500 0.000
Pd: 0.500 0.000 0.000
Tl: 0.000 0.000 0.000
Tl: 0.500 0.500 0.500
Se: 0.211 0.211 0.366
Se: 0.789 0.789 0.634

Crystal system: trigonal
E_form (uncorrected), eV/atom: -0.37
Symmetry: R-3m, No. 166

2.
PrMgCd2 | SCAN | single point on PBEsol structure

Cell: 5.136 5.136 5.136 Å, 60.00 60.00 60.00°
Positions (direct):
Cd: 0.750 0.750 0.750
Cd: 0.250 0.250 0.250
Mg: 0.500 0.500 0.500
Pr: 0.000 0.000 0.000

Crystal system: cubic
Symmetry: Fm-3m, No. 225
Formation energy from the elements, meV per atom: -441

3.
CaCuHg2 | SCAN | single point on PBEsol structure

Cell: 4.578 4.610 5.452 Å, 114.86 90.00 119.77°
Positions (direct):
Hg: 0.726 0.451 0.176
Hg: 0.960 0.921 0.882
Ca: 0.510 0.020 0.527
Cu: 0.304 0.607 0.915

Crystal system: monoclinic
Symmetry: Cm, No. 8
Formation energy from the elements, meV per atom: -293

4.
RbPPb2W | SCAN | single point on PBEsol structure

Cell: 4.706 5.450 5.450 Å, 90.00 90.00 90.00°
Positions (direct):
Rb: 0.500 0.500 0.500
W: 0.000 0.000 0.000
P: 0.500 0.000 0.000
Pb: 0.000 0.500 0.000
Pb: 0.000 0.000 0.500

Crystal system: tetragonal
Symmetry: P4/mmm, No. 123
Formation energy from the elements, meV per atom: 220

M_tot in Bohr magnetons per cell, matching the order above: 0.000, 0.000, 0.000, 0.000